Record 1
## Al5Ni4Os (PBE)

Data for a relaxed structure of Al5Ni4Os.

a b c (Å): 2.963 2.963 14.247
angles (deg): 90.00 90.00 90.00
Fractional positions:
Ni 0.000 0.000 0.206
Ni 0.000 0.000 0.599
Ni 0.000 0.000 0.401
Ni 0.000 0.000 0.794
Al 0.500 0.500 0.105
Al 0.500 0.500 0.500
Al 0.500 0.500 0.304
Al 0.500 0.500 0.895
Al 0.500 0.500 0.696
Os 0.000 0.000 0.000

Values from the calculation:
Mass density in g cm⁻³: 7.43
Density of states at the Fermi level in states/eV/cell: 5.47
Energy in eV/atom: -5.91

---

Record 2
## AlNiOs2 (PBE)

Data for a relaxed structure of AlNiOs2.

a b c (Å): 4.624 4.624 4.498
angles (deg): 80.51 80.51 34.85
Fractional positions:
Ni 0.250 0.250 0.270
Os 0.747 0.747 0.773
Os 0.002 0.002 0.982
Al 0.501 0.501 0.475

Values from the calculation:
Mass density in g cm⁻³: 14.30
Density of states at the Fermi level in states/eV/cell: 2.89
Energy in eV/atom: -8.11

---

Record 3
## AlNiOs2Pb (PBE)

Data for a relaxed structure of AlNiOs2Pb.

a b c (Å): 4.494 5.065 4.494
angles (deg): 90.00 90.00 90.00
Site moments in Bohr magnetons follow the coordinates.
Fractional positions:
Os 0.500 0.000 0.000  0.56
Os 0.000 0.000 0.500  0.53
Ni 0.500 0.500 0.500  0.75
Pb 0.000 0.500 0.000  -0.01
Al 0.000 0.000 0.000  0.00

Values from the calculation:
Mass density in g cm⁻³: 10.93
Density of states at the Fermi level in states/eV/cell: 7.10
Energy in eV/atom: -5.33

---

Record 4
## SmAl3NiOs (PBE)

Data for a relaxed structure of SmAl3NiOs.

a b c (Å): 5.691 7.627 6.523
angles (deg): 125.77 90.00 90.00
Fractional positions:
Sm 0.250 0.714 0.427
Sm 0.750 0.286 0.573
Os 0.250 0.419 0.838
Os 0.750 0.581 0.162
Ni 0.250 0.975 0.951
Ni 0.750 0.025 0.049
Al 0.500 0.253 0.000
Al 0.500 0.747 0.000
Al 0.750 0.809 0.618
Al 0.000 0.253 0.000
Al 0.000 0.747 0.000
Al 0.250 0.191 0.382

Values from the calculation:
Mass density in g cm⁻³: 6.94
Density of states at the Fermi level in states/eV/cell: 5.25
Energy in eV/atom: -5.77

---

Record 5
## AlNiSnOs2 (PBE)

Data for a relaxed structure of AlNiSnOs2.

a b c (Å): 4.460 4.460 4.843
angles (deg): 90.00 90.00 90.00
Site moments in Bohr magnetons follow the coordinates.
Fractional positions:
Sn 0.000 0.000 0.500  0.01
Ni 0.500 0.500 0.500  0.62
Os 0.500 0.000 0.000  0.14
Os 0.000 0.500 0.000  0.14
Al 0.000 0.000 0.000  0.00

Values from the calculation:
Mass density in g cm⁻³: 10.08
Density of states at the Fermi level in states/eV/cell: 6.01
Energy in eV/atom: -5.48

---

Record 6
## AlNi2SnOs (PBE)

Data for a relaxed structure of AlNi2SnOs.

a b c (Å): 4.515 4.930 4.515
angles (deg): 90.00 90.00 90.00
Site moments in Bohr magnetons follow the coordinates.
Fractional positions:
Ni 0.500 0.000 0.000  0.06
Ni 0.000 0.000 0.500  0.12
Sn 0.000 0.000 0.000  0.01
Al 0.000 0.500 0.000  -0.01
Os 0.500 0.500 0.500  1.91

Values from the calculation:
Mass density in g cm⁻³: 7.49
Density of states at the Fermi level in states/eV/cell: 6.82
Energy in eV/atom: -4.38